1.
NiHBr | PBE | relaxed

a b c (Å): 3.4159 3.8618 8.2264
angles (deg): 91.80 91.26 110.10
Closest atoms and distances in Å follow each position.
Sites, in units of the cell vectors:
H: 0.6039 0.7622 0.0465  2 Ni 1.57-1.60
H: 0.3961 0.2378 0.9535  2 Ni 1.57-1.60
Ni: 0.7188 0.4111 0.0979  2 H 1.57-1.60
Ni: 0.2812 0.5889 0.9021  2 H 1.57-1.60
Br: 0.1597 0.2756 0.2844  2 Ni 2.32-2.40
Br: 0.8403 0.7244 0.7156  2 Ni 2.32-2.40

Output
Space group: P-1
Energy above the most stable polymorph in this dataset, eV per formula unit: 0.08

2.
La3CoSn | PBE | relaxed

a b c (Å): 6.1467 6.9906 7.2073
angles (deg): 72.35 80.36 92.98
Closest atoms and distances in Å follow each position.
Sites, in units of the cell vectors:
La: 0.0971 0.2932 0.9428  1 Co 2.58
La: 0.7138 0.0260 0.4114  1 Co 2.58
La: 0.5810 0.5424 0.0240  2 Co 2.82-3.10
La: 0.1152 0.8517 0.8319  1 Co 2.61
La: 0.2299 0.7769 0.3301  2 Co 2.82-3.10
La: 0.6958 0.4675 0.5222  1 Co 2.61
Sn: 0.5956 0.0619 0.9250  1 Co 2.67
Sn: 0.2153 0.2573 0.4292  1 Co 2.67
Co: 0.9597 0.4726 0.1971  3 La 2.58-2.82, 1 Sn 2.67, 1 Co 2.67
Co: 0.8513 0.8464 0.1571  3 La 2.58-2.82, 1 Sn 2.67, 1 Co 2.67

Output
Space group: P-1
Energy above the most stable polymorph in this dataset, eV per formula unit: 0.07
ΔH_f (0 K), eV per atom: -0.434

3.
NaScCd2Cl8 | PBE | relaxed

a b c (Å): 6.3388 6.1171 7.9819
angles (deg): 90.00 90.00 90.01
Closest atoms and distances in Å follow each position.
Sites, in units of the cell vectors:
Cl: 0.3343 0.2810 0.5000  2 Cd 2.60, 1 Na 2.73
Cl: 0.8287 0.2177 0.2243  1 Sc 2.48, 1 Cd 2.72
Cl: 0.3166 0.2709 0.0000  1 Sc 2.60, 2 Cd 2.73
Cl: 0.6834 0.7291 0.0000  1 Sc 2.60, 2 Cd 2.73
Cl: 0.6657 0.7190 0.5000  2 Cd 2.60, 1 Na 2.73
Cl: 0.1714 0.7824 0.2243  1 Sc 2.48, 1 Cd 2.72
Cl: 0.1713 0.7823 0.7757  1 Sc 2.48, 1 Cd 2.72
Cl: 0.8286 0.2176 0.7757  1 Sc 2.48, 1 Cd 2.72
Cd: 0.5000 0.4999 0.2546  6 Cl 2.60-2.73
Cd: 0.5000 0.5001 0.7454  6 Cl 2.60-2.73
Na: 0.0000 0.0000 0.5000  6 Cl 2.73-2.79
Sc: 0.0000 0.0000 0.0000  6 Cl 2.48-2.60

Output
Space group: P2/m
Raw formation energy, eV/atom: -1.51

4.
CuNi2W | PBE | relaxed

a b c (Å): 5.0146 5.0146 5.0146
angles (deg): 148.90 129.09 60.87
Closest atoms and distances in Å follow each position.
Sites, in units of the cell vectors:
Ni: 0.9948 0.9948 0.0000  4 Ni 2.45-2.69, 2 Cu 2.50, 4 W 2.54
Ni: 0.7582 0.2582 0.5000  4 Ni 2.45-2.69, 2 W 2.54, 4 Cu 2.55
Cu: 0.2381 0.7381 0.5000  6 Ni 2.50-2.55, 2 Cu 2.69, 2 W 2.70
W: 0.5088 0.5088 0.0000  6 Ni 2.54, 2 W 2.69, 2 Cu 2.70

Output
Space group: Imm2
Energy above the most stable polymorph in this dataset, eV per formula unit: 0.63
ΔH_f (0 K), eV per atom: 0.170

5.
AgIF2 | PBE | relaxed

a b c (Å): 4.5558 4.5558 4.5558
angles (deg): 60.00 60.00 60.00
Closest atoms and distances in Å follow each position.
Sites, in units of the cell vectors:
Ag: 0.0000 0.0000 0.0000  8 F 2.79
F: 0.7500 0.7500 0.7500  4 I 2.79, 4 Ag 2.79
F: 0.2500 0.2500 0.2500  4 I 2.79, 4 Ag 2.79
I: 0.5000 0.5000 0.5000  8 F 2.79

Output
Space group: Fm-3m
Energy above the most stable polymorph in this dataset, eV per formula unit: 1.64
Raw formation energy, eV/atom: -0.44

6.
BaPb3Cl | PBE | relaxed

a b c (Å): 5.6995 5.6995 5.6995
angles (deg): 90.00 90.00 90.00
Closest atoms and distances in Å follow each position.
Sites, in units of the cell vectors:
Cl: 0.0000 0.0000 0.0000  6 Pb 2.85
Pb: 0.0000 0.5000 0.0000  2 Cl 2.85
Pb: 0.5000 0.0000 0.0000  2 Cl 2.85
Pb: 0.0000 0.0000 0.5000  2 Cl 2.85
Ba: 0.5000 0.5000 0.5000  12 Pb 4.03

Output
Space group: Pm-3m
Energy above the most stable polymorph in this dataset, eV per formula unit: 0.00
Raw formation energy, eV/atom: -0.19

7.
TlCrBr2 | PBE | relaxed

a b c (Å): 5.3746 5.3746 5.3746
angles (deg): 60.00 60.00 60.00
Closest atoms and distances in Å follow each position.
Sites, in units of the cell vectors:
Tl: 0.5000 0.5000 0.5000  8 Br 3.29
Cr: 0.0000 0.0000 0.0000  8 Br 3.29
Br: 0.2500 0.2500 0.2500  4 Cr 3.29, 4 Tl 3.29
Br: 0.7500 0.7500 0.7500  4 Tl 3.29, 4 Cr 3.29

Output
Space group: Fm-3m
Energy above the most stable polymorph in this dataset, eV per formula unit: 0.99
Raw formation energy, eV/atom: -0.13

8.
NaTePb2I | PBE | relaxed

a b c (Å): 6.0860 6.4398 6.0860
angles (deg): 90.00 90.00 90.00
Closest atoms and distances in Å follow each position.
Sites, in units of the cell vectors:
Pb: 0.0000 0.0000 0.5000  2 Te 3.04
Pb: 0.5000 0.0000 0.0000  2 Te 3.04
I: 0.0000 0.5000 0.0000  2 Te 3.22
Na: 0.5000 0.5000 0.5000  4 I 4.30, 8 Pb 4.43
Te: 0.0000 0.0000 0.0000  4 Pb 3.04, 2 I 3.22

Output
Space group: P4/mmm
Raw formation energy, eV/atom: 0.21

9.
Zr2Ir | PBE | relaxed

a b c (Å): 5.4806 5.4806 5.4806
angles (deg): 60.00 60.00 60.00
Closest atoms and distances in Å follow each position.
Sites, in units of the cell vectors:
Zr: 0.6250 0.6250 0.1250  6 Zr 2.74
Zr: 0.1250 0.6250 0.6250  6 Zr 2.74
Zr: 0.6250 0.6250 0.6250  6 Zr 2.74
Zr: 0.6250 0.1250 0.6250  6 Zr 2.74
Ir: 0.0000 0.0000 0.0000  12 Zr 3.21, 4 Ir 3.36
Ir: 0.2500 0.2500 0.2500  12 Zr 3.21, 4 Ir 3.36

Output
Space group: Fd-3m
ΔH_f (0 K), eV per atom: 0.339

10.
TaSbBr2 | PBE | relaxed

a b c (Å): 3.3038 7.4772 7.4685
angles (deg): 43.90 90.00 90.00
Closest atoms and distances in Å follow each position.
Sites, in units of the cell vectors:
Ta: 0.5000 0.7500 0.7500  4 Br 2.63, 2 Sb 2.79
Br: 0.0000 0.6027 0.6020  2 Ta 2.63
Br: 0.0000 0.8973 0.8980  2 Ta 2.63
Sb: 0.5000 0.2500 0.2500  2 Ta 2.79

Output
Space group: P2/m
Energy above the most stable polymorph in this dataset, eV per formula unit: 0.42
Raw formation energy, eV/atom: -0.22

Taking the records one at a time from the top gives V values of 16.97 28.92 25.79 12.53 16.72 37.03 27.45 47.71 19.40 31.98 A^3/atom.